No. 1
# Mn3Cr3Si7Ni16 GGA-PBEsol relaxed
data_Mn3Cr3Si7Ni16
_space_group_name_H-M_alt 'P 1'
_space_group_IT_number 1
_cell_length_a 7.724
_cell_length_b 7.724
_cell_length_c 7.724
_cell_angle_alpha 60.00
_cell_angle_beta 60.00
_cell_angle_gamma 60.00
loop_
_space_group_symop_operation_xyz
'x,y,z'
loop_
_atom_site_label
_atom_site_type_symbol
_atom_site_fract_x
_atom_site_fract_y
_atom_site_fract_z
_atom_site_occupancy
Mn1 Mn 0.205 0.205 0.591 1
Mn2 Mn 0.205 0.591 0.205 1
Mn3 Mn 0.591 0.205 0.205 1
Cr1 Cr 0.210 0.588 0.588 1
Cr2 Cr 0.588 0.210 0.588 1
Cr3 Cr 0.588 0.588 0.210 1
Si1 Si 0.397 0.397 0.896 1
Si2 Si 0.397 0.896 0.397 1
Si3 Si 0.400 0.897 0.897 1
Si4 Si 0.896 0.397 0.397 1
Si5 Si 0.897 0.400 0.897 1
Si6 Si 0.897 0.897 0.400 1
Si7 Si 0.897 0.897 0.897 1
Ni1 Ni 0.015 0.015 0.015 1
Ni2 Ni 0.015 0.015 0.544 1
Ni3 Ni 0.015 0.544 0.015 1
Ni4 Ni 0.231 0.231 0.894 1
Ni5 Ni 0.231 0.894 0.231 1
Ni6 Ni 0.233 0.233 0.233 1
Ni7 Ni 0.250 0.779 0.779 1
Ni8 Ni 0.544 0.015 0.015 1
Ni9 Ni 0.562 0.562 0.903 1
Ni10 Ni 0.562 0.903 0.562 1
Ni11 Ni 0.564 0.564 0.564 1
Ni12 Ni 0.779 0.250 0.779 1
Ni13 Ni 0.779 0.779 0.250 1
Ni14 Ni 0.779 0.779 0.779 1
Ni15 Ni 0.894 0.231 0.231 1
Ni16 Ni 0.903 0.562 0.562 1
# - SG: No. 160
# - DOS at the Fermi energy: 20.8 states/eV/f.u.
# - Formation energy (no corrections): -399 meV per atom

No. 2
# MnCrNi4Sn2 GGA-PBEsol relaxed
data_MnCrNi4Sn2
_space_group_name_H-M_alt 'P 1'
_space_group_IT_number 1
_cell_length_a 7.299
_cell_length_b 7.299
_cell_length_c 7.299
_cell_angle_alpha 33.58
_cell_angle_beta 33.58
_cell_angle_gamma 33.58
loop_
_space_group_symop_operation_xyz
'x,y,z'
loop_
_atom_site_label
_atom_site_type_symbol
_atom_site_fract_x
_atom_site_fract_y
_atom_site_fract_z
_atom_site_occupancy
Mn1 Mn 0.000 0.000 0.000 1
Cr1 Cr 0.500 0.500 0.500 1
Ni1 Ni 0.123 0.123 0.123 1
Ni2 Ni 0.374 0.374 0.374 1
Ni3 Ni 0.626 0.626 0.626 1
Ni4 Ni 0.877 0.877 0.877 1
Sn1 Sn 0.249 0.249 0.249 1
Sn2 Sn 0.751 0.751 0.751 1
# - SG: No. 166
# - Energy relative to the elements: -0.091 eV/atom
# - DOS at the Fermi energy: 5.6 states/eV/f.u.

No. 3
# MnCr2O4 GGA-PBEsol relaxed
data_MnCr2O4
_space_group_name_H-M_alt 'P 1'
_space_group_IT_number 1
_cell_length_a 5.940
_cell_length_b 5.940
_cell_length_c 5.940
_cell_angle_alpha 60.00
_cell_angle_beta 60.00
_cell_angle_gamma 60.00
loop_
_space_group_symop_operation_xyz
'x,y,z'
loop_
_atom_site_label
_atom_site_type_symbol
_atom_site_fract_x
_atom_site_fract_y
_atom_site_fract_z
_atom_site_occupancy
Mn1 Mn 0.125 0.125 0.125 1
Mn2 Mn 0.875 0.875 0.875 1
Cr1 Cr 0.000 0.500 0.500 1
Cr2 Cr 0.500 0.000 0.500 1
Cr3 Cr 0.500 0.500 0.000 1
Cr4 Cr 0.500 0.500 0.500 1
O1 O 0.263 0.263 0.263 1
O2 O 0.263 0.263 0.710 1
O3 O 0.263 0.710 0.263 1
O4 O 0.290 0.737 0.737 1
O5 O 0.710 0.263 0.263 1
O6 O 0.737 0.290 0.737 1
O7 O 0.737 0.737 0.290 1
O8 O 0.737 0.737 0.737 1
# - SG: No. 227
# - DOS at the Fermi energy: 0.2 states/eV/f.u.
# - Formation energy (no corrections): -1752 meV per atom

No. 4
# Mn2CrO4 GGA-PBEsol relaxed
data_Mn2CrO4
_space_group_name_H-M_alt 'P 1'
_space_group_IT_number 1
_cell_length_a 5.870
_cell_length_b 5.870
_cell_length_c 5.967
_cell_angle_alpha 118.59
_cell_angle_beta 118.59
_cell_angle_gamma 90.82
loop_
_space_group_symop_operation_xyz
'x,y,z'
loop_
_atom_site_label
_atom_site_type_symbol
_atom_site_fract_x
_atom_site_fract_y
_atom_site_fract_z
_atom_site_occupancy
Mn1 Mn 0.000 0.500 0.000 1
Mn2 Mn 0.120 0.880 0.750 1
Mn3 Mn 0.500 0.000 0.500 1
Mn4 Mn 0.880 0.120 0.250 1
Cr1 Cr 0.500 0.500 0.000 1
Cr2 Cr 0.500 0.500 0.500 1
O1 O 0.245 0.718 0.998 1
O2 O 0.265 0.293 0.043 1
O3 O 0.282 0.755 0.502 1
O4 O 0.293 0.265 0.543 1
O5 O 0.707 0.735 0.457 1
O6 O 0.718 0.245 0.498 1
O7 O 0.735 0.707 0.957 1
O8 O 0.755 0.282 0.002 1
# - SG: No. 15
# - DOS at the Fermi energy: 1.6 states/eV/f.u.
# - Formation energy (no corrections): -1605 meV per atom

No. 5
# MnCrO4 GGA-PBEsol relaxed
data_MnCrO4
_space_group_name_H-M_alt 'P 1'
_space_group_IT_number 1
_cell_length_a 4.909
_cell_length_b 4.909
_cell_length_c 6.283
_cell_angle_alpha 90.00
_cell_angle_beta 90.00
_cell_angle_gamma 111.29
loop_
_space_group_symop_operation_xyz
'x,y,z'
loop_
_atom_site_label
_atom_site_type_symbol
_atom_site_fract_x
_atom_site_fract_y
_atom_site_fract_z
_atom_site_occupancy
Mn1 Mn 0.000 0.000 0.000 1
Mn2 Mn 0.000 0.000 0.500 1
Cr1 Cr 0.358 0.642 0.750 1
Cr2 Cr 0.642 0.358 0.250 1
O1 O 0.216 0.268 0.750 1
O2 O 0.237 0.763 0.538 1
O3 O 0.237 0.763 0.962 1
O4 O 0.268 0.216 0.250 1
O5 O 0.732 0.784 0.750 1
O6 O 0.763 0.237 0.038 1
O7 O 0.763 0.237 0.462 1
O8 O 0.784 0.732 0.250 1
# - SG: No. 63
# - DOS at the Fermi energy: 0.7 states/eV/f.u.
# - Formation energy (no corrections): -1689 meV per atom

No. 6
# MnCrP2O8 GGA-PBEsol relaxed
data_MnCrP2O8
_space_group_name_H-M_alt 'P 1'
_space_group_IT_number 1
_cell_length_a 4.735
_cell_length_b 5.745
_cell_length_c 9.710
_cell_angle_alpha 90.00
_cell_angle_beta 91.65
_cell_angle_gamma 90.00
loop_
_space_group_symop_operation_xyz
'x,y,z'
loop_
_atom_site_label
_atom_site_type_symbol
_atom_site_fract_x
_atom_site_fract_y
_atom_site_fract_z
_atom_site_occupancy
Mn1 Mn 0.067 0.250 0.225 1
Mn2 Mn 0.933 0.750 0.775 1
Cr1 Cr 0.453 0.250 0.726 1
Cr2 Cr 0.547 0.750 0.274 1
P1 P 0.099 0.750 0.093 1
P2 P 0.392 0.750 0.592 1
P3 P 0.608 0.250 0.408 1
P4 P 0.901 0.250 0.907 1
O1 O 0.157 0.750 0.939 1
O2 O 0.216 0.250 0.884 1
O3 O 0.250 0.539 0.666 1
O4 O 0.250 0.961 0.666 1
O5 O 0.263 0.545 0.169 1
O6 O 0.263 0.955 0.169 1
O7 O 0.285 0.250 0.385 1
O8 O 0.329 0.750 0.437 1
O9 O 0.671 0.250 0.563 1
O10 O 0.715 0.750 0.615 1
O11 O 0.737 0.045 0.831 1
O12 O 0.737 0.455 0.831 1
O13 O 0.750 0.039 0.334 1
O14 O 0.750 0.461 0.334 1
O15 O 0.784 0.750 0.116 1
O16 O 0.843 0.250 0.061 1
# - SG: No. 11
# - DOS at the Fermi energy: 1.3 states/eV/f.u.
# - Formation energy (no corrections): -2009 meV per atom

> Number 6 is which compound?

MnCrP2O8

What did the fourth record say?
# Mn2CrO4 GGA-PBEsol relaxed
data_Mn2CrO4
_space_group_name_H-M_alt 'P 1'
_space_group_IT_number 1
_cell_length_a 5.870
_cell_length_b 5.870
_cell_length_c 5.967
_cell_angle_alpha 118.59
_cell_angle_beta 118.59
_cell_angle_gamma 90.82
loop_
_space_group_symop_operation_xyz
'x,y,z'
loop_
_atom_site_label
_atom_site_type_symbol
_atom_site_fract_x
_atom_site_fract_y
_atom_site_fract_z
_atom_site_occupancy
Mn1 Mn 0.000 0.500 0.000 1
Mn2 Mn 0.120 0.880 0.750 1
Mn3 Mn 0.500 0.000 0.500 1
Mn4 Mn 0.880 0.120 0.250 1
Cr1 Cr 0.500 0.500 0.000 1
Cr2 Cr 0.500 0.500 0.500 1
O1 O 0.245 0.718 0.998 1
O2 O 0.265 0.293 0.043 1
O3 O 0.282 0.755 0.502 1
O4 O 0.293 0.265 0.543 1
O5 O 0.707 0.735 0.457 1
O6 O 0.718 0.245 0.498 1
O7 O 0.735 0.707 0.957 1
O8 O 0.755 0.282 0.002 1
# - SG: No. 15
# - DOS at the Fermi energy: 1.6 states/eV/f.u.
# - Formation energy (no corrections): -1605 meV per atom